# 1
# YMgCo2H8 | Alexandria | PBE | relaxed
data_YMgCo2H8
_chemical_formula_sum 'Y1 Mg1 Co2 H8'
_space_group_name_H-M_alt 'P 1'
_space_group_IT_number 1
_space_group_name_Hall 'P 1'
_cell_length_a 5.828
_cell_length_b 5.828
_cell_length_c 5.828
_cell_angle_alpha 46.07
_cell_angle_beta 46.07
_cell_angle_gamma 46.07
loop_
_atom_site_label
_atom_site_type_symbol
_atom_site_fract_x
_atom_site_fract_y
_atom_site_fract_z
Y1 Y 0.000 0.000 0.000
Mg1 Mg 0.500 0.500 0.500
Co1 Co 0.197 0.197 0.197
Co2 Co 0.803 0.803 0.803
H1 H 0.085 0.869 0.400
H2 H 0.131 0.600 0.915
H3 H 0.302 0.302 0.302
H4 H 0.400 0.085 0.869
H5 H 0.600 0.915 0.131
H6 H 0.698 0.698 0.698
H7 H 0.869 0.400 0.085
H8 H 0.915 0.131 0.600
# total magnetization = 0.000 μB per atom
# VASP energy = -4.30 eV/atom
# calculated density = 4.24 g cm⁻³
# space group = No. 148

---

# 2
# Mg2ZnCoH | Alexandria | PBE | relaxed
data_Mg2ZnCoH
_chemical_formula_sum 'Mg2 Zn1 Co1 H1'
_space_group_name_H-M_alt 'P 1'
_space_group_IT_number 1
_space_group_name_Hall 'P 1'
_cell_length_a 4.457
_cell_length_b 4.457
_cell_length_c 3.247
_cell_angle_alpha 90.00
_cell_angle_beta 90.00
_cell_angle_gamma 90.00
loop_
_atom_site_label
_atom_site_type_symbol
_atom_site_fract_x
_atom_site_fract_y
_atom_site_fract_z
Mg1 Mg 0.000 0.500 0.000
Mg2 Mg 0.500 0.000 0.000
Zn1 Zn 0.000 0.000 0.500
Co1 Co 0.500 0.500 0.500
H1 H 0.500 0.500 0.000
# total magnetization = 0.000 μB per atom
# VASP energy = -3.03 eV/atom
# calculated density = 4.48 g cm⁻³
# space group = No. 123

---

# 3
# Mn2CoH4 | Alexandria | PBE | relaxed
data_Mn2CoH4
_chemical_formula_sum 'Mn4 Co2 H8'
_space_group_name_H-M_alt 'P 1'
_space_group_IT_number 1
_space_group_name_Hall 'P 1'
_cell_length_a 4.165
_cell_length_b 5.832
_cell_length_c 4.374
_cell_angle_alpha 90.00
_cell_angle_beta 90.00
_cell_angle_gamma 90.00
loop_
_atom_site_label
_atom_site_type_symbol
_atom_site_fract_x
_atom_site_fract_y
_atom_site_fract_z
Mn1 Mn 0.250 0.003 0.241
Mn2 Mn 0.250 0.497 0.241
Mn3 Mn 0.750 0.503 0.759
Mn4 Mn 0.750 0.997 0.759
Co1 Co 0.250 0.250 0.745
Co2 Co 0.750 0.750 0.255
H1 H 0.014 0.750 0.514
H2 H 0.250 0.518 0.823
H3 H 0.250 0.982 0.823
H4 H 0.486 0.750 0.514
H5 H 0.514 0.250 0.486
H6 H 0.750 0.018 0.177
H7 H 0.750 0.482 0.177
H8 H 0.986 0.250 0.486
# total magnetization = 1.166 μB per atom
# energy above the lowest structure with this stoichiometry = 0 meV/atom
# calculated density = 5.40 g cm⁻³
# space group = No. 59